Entry 1:
First-principles (PBE-GGA) data for crystalline NiOs5 at its relaxed geometry, as listed in Alexandria.

Unit cell a=7.1648 b=7.1648 c=7.1648 alpha=90.00 beta=90.00 gamma=90.00
Last column: nearest neighbours and their distance in Å.
Space group F-43m (No. 216)
One atom of each set of equivalent atoms:
Ni1 0.0000 0.0000 0.0000 (multiplicity 4)  16 Os 2.97-3.10
Os1 0.1251 0.1251 0.6251 (multiplicity 16)  6 Os 2.53-2.54
Os2 0.2500 0.2500 0.2500 (multiplicity 4)  12 Os 2.97, 4 Ni 3.10

Entry 2:
First-principles (PBE-GGA) data for crystalline Ni3Os at its relaxed geometry, as listed in Alexandria.

Unit cell a=5.7399 b=5.7399 c=5.7399 alpha=90.00 beta=90.00 gamma=90.00
Last column: nearest neighbours and their distance in Å.
Space group Fm-3m (No. 225)
One atom of each set of equivalent atoms:
Ni1 0.0000 0.0000 0.0000 (multiplicity 4)  8 Ni 2.49
Ni2 0.2500 0.2500 0.2500 (multiplicity 8)  4 Os 2.49, 4 Ni 2.49
Os1 0.0000 0.0000 0.5000 (multiplicity 4)  8 Ni 2.49

DFT formation energy list, top to bottom, in eV per formula unit: 5.61 1.00